[1]
Sc2PdW (GGA-PBE, optimized geometry); crystal system = cubic; energy above the most stable polymorph in this dataset = 0.00 kcal/mol of atoms; calculated total energy = -7.74 eV per atom; SG = Fm-3m, No. 225
1.0
3.779 -0.763 2.661
-0.441 -2.178 4.124
1.645 -4.353 0.538
Sc W Pd
2 1 1
Direct
0.250 0.250 0.250
0.750 0.750 0.750
0.500 0.500 0.500
0.000 0.000 0.000


[2]
ScPd3W (GGA-PBE, optimized geometry); crystal system = cubic; energy above the most stable polymorph in this dataset = 0.00 kcal/mol of atoms; calculated total energy = -6.28 eV per atom; SG = Pm-3m, No. 221
1.0
-1.239 3.615 2.919
0.278 -2.958 3.781
4.638 1.143 0.553
Pd Sc W
3 1 1
Direct
0.000 0.500 0.000
0.500 0.000 0.000
0.000 0.000 0.500
0.500 0.500 0.500
0.000 0.000 0.000


[3]
Sc3PdW (GGA-PBE, optimized geometry); crystal system = cubic; energy above the most stable polymorph in this dataset = 1.85 kcal/mol of atoms; calculated total energy = -6.76 eV per atom; SG = Pm-3m, No. 221
1.0
-2.469 1.009 -4.109
0.318 -4.699 -1.346
-4.219 -0.945 2.303
W Sc Pd
1 3 1
Direct
0.500 0.500 0.500
0.000 0.000 0.500
0.500 0.000 0.000
0.000 0.500 0.000
0.000 0.000 0.000


[4]
Y2ScPdW (GGA-PBE, optimized geometry); crystal system = tetragonal; calculated total energy = -6.20 eV per atom; SG = P4/mmm, No. 123
1.0
5.361 0.000 0.000
0.000 4.538 0.000
0.000 0.000 5.361
W Pd Y Sc
1 1 2 1
Direct
0.500 0.500 0.500
0.000 0.500 0.000
0.000 0.000 0.500
0.500 0.000 0.000
0.000 0.000 0.000


[5]
Y2ScPd2 (GGA-PBE, optimized geometry); crystal system = tetragonal; energy above the most stable polymorph in this dataset = 8.47 kcal/mol of atoms; calculated total energy = -6.29 eV per atom; SG = I4/mmm, No. 139
1.0
-4.505 0.850 -1.024
-0.601 -4.524 -1.112
-3.997 -2.976 4.345
Y Pd Sc
2 2 1
Direct
0.750 0.250 0.500
0.250 0.750 0.500
0.389 0.389 0.222
0.611 0.611 0.778
0.000 0.000 0.000


[6]
YSc2Pd2 (GGA-PBE, optimized geometry); crystal system = tetragonal; energy above the most stable polymorph in this dataset = 7.18 kcal/mol of atoms; calculated total energy = -6.27 eV per atom; SG = I4/mmm, No. 139
1.0
4.152 0.000 0.000
0.000 4.152 0.000
2.076 2.076 6.611
Sc Pd Y
2 2 1
Direct
0.624 0.624 0.752
0.376 0.376 0.248
0.750 0.250 0.500
0.250 0.750 0.500
0.000 0.000 0.000


[7]
Y2Sc3Pd2 (GGA-PBE, optimized geometry); crystal system = monoclinic; calculated total energy = -6.57 eV per atom; SG = C2/m, No. 12
1.0
-0.273 -2.878 2.235
-2.840 -1.519 -5.290
8.489 -0.807 -0.003
Y Sc Pd
2 3 2
Direct
0.852 0.704 0.195
0.148 0.296 0.805
0.385 0.770 0.558
0.615 0.230 0.442
0.500 0.000 0.000
0.161 0.323 0.235
0.839 0.677 0.765


[8]
YSc2Pd (GGA-PBE, optimized geometry); crystal system = tetragonal; energy above the most stable polymorph in this dataset = 1.18 kcal/mol of atoms; calculated total energy = -6.48 eV per atom; SG = P4/mmm, No. 123
1.0
3.397 0.000 0.000
0.000 3.397 0.000
0.000 0.000 8.040
Y Sc Pd
1 2 1
Direct
0.500 0.500 0.500
0.000 0.000 0.804
0.000 0.000 0.196
0.500 0.500 0.000


[9]
YScPd2 (GGA-PBE, optimized geometry); crystal system = orthorhombic; energy above the most stable polymorph in this dataset = 20.19 kcal/mol of atoms; calculated total energy = -5.79 eV per atom; SG = Immm, No. 71
1.0
-5.762 1.452 -1.018
2.315 -2.848 4.784
5.527 1.490 1.893
Pd Sc Y
2 1 1
Direct
0.000 0.237 0.237
0.000 0.763 0.763
0.000 0.000 0.000
0.000 0.500 0.500


[10]
YSc2Pd2 (GGA-PBE, optimized geometry); crystal system = monoclinic; energy above the most stable polymorph in this dataset = 0.30 kcal/mol of atoms; calculated total energy = -6.56 eV per atom; SG = P2_1/m, No. 11
1.0
-4.625 0.224 -0.189
-0.317 -3.538 3.566
0.219 8.705 4.960
Pd Sc Y
4 4 2
Direct
0.250 0.859 0.632
0.750 0.678 0.030
0.250 0.322 0.970
0.750 0.141 0.368
0.750 0.213 0.114
0.250 0.289 0.515
0.750 0.711 0.485
0.250 0.787 0.886
0.250 0.758 0.233
0.750 0.242 0.767


[11]
Y2ScPd2 (GGA-PBE, optimized geometry); crystal system = tetragonal; energy above the most stable polymorph in this dataset = 0.00 kcal/mol of atoms; calculated total energy = -6.65 eV per atom; SG = P4/mbm, No. 127
1.0
-4.478 3.401 -5.018
-2.860 -6.686 -1.979
-2.874 0.392 2.830
Pd Sc Y
4 2 4
Direct
0.634 0.134 0.000
0.134 0.366 0.000
0.366 0.866 0.000
0.866 0.634 0.000
0.000 0.000 0.000
0.500 0.500 0.000
0.331 0.169 0.500
0.831 0.331 0.500
0.169 0.669 0.500
0.669 0.831 0.500


[12]
Y3ScPd (GGA-PBE, optimized geometry); crystal system = cubic; energy above the most stable polymorph in this dataset = 5.25 kcal/mol of atoms; calculated total energy = -6.21 eV per atom; SG = Pm-3m, No. 221
1.0
5.437 0.000 0.000
0.000 5.437 0.000
0.000 0.000 5.437
Pd Y Sc
1 3 1
Direct
0.000 0.000 0.000
0.000 0.000 0.500
0.500 0.000 0.000
0.000 0.500 0.000
0.500 0.500 0.500


[13]
YScPd3 (GGA-PBE, optimized geometry); crystal system = cubic; energy above the most stable polymorph in this dataset = 10.50 kcal/mol of atoms; calculated total energy = -5.93 eV per atom; SG = Pm-3m, No. 221
1.0
-1.503 -4.303 1.548
0.466 -1.765 -4.454
4.549 -1.241 0.968
Pd Y Sc
3 1 1
Direct
0.000 0.000 0.500
0.000 0.500 0.000
0.500 0.000 0.000
0.500 0.500 0.500
0.000 0.000 0.000